No. 1
! Ho6GeTe3Ir2, optimized geometry, DFT GGA-PBE; values from VASP
! E = -71.963 eV/cell
! mass density = 9452 kg/m³
! ΔE_f (raw) = -1228 kJ/mol of formula units
&SYSTEM
  ibrav = 0, nat = 12, ntyp = 4
/
ATOMIC_SPECIES
Ho 164.93 Ho.upf
Te 127.60 Te.upf
Ir 192.22 Ir.upf
Ge 72.64 Ge.upf
ATOMIC_POSITIONS angstrom
Ho -0.0838 4.1353 5.6857
Ho 2.3540 4.0759 1.5203
Te 4.8069 -0.0254 3.6066
Ir 3.5826 2.0673 -0.0051
Te 1.1913 2.0627 3.6066
Ho 2.4664 -0.0099 1.5276
Ho -1.2411 2.1314 1.5276
Te -2.4243 4.1509 3.6066
Ir 0.0002 4.1363 -0.0051
Ge 0.0000 0.0000 0.0000
Ho 3.6237 1.9941 5.6857
Ho 0.0286 0.0496 5.6930
CELL_PARAMETERS angstrom
7.1723 -0.0059 -0.0051
-3.5895 6.2095 -0.0051
-1.2002 -2.0781 7.2234


No. 2
! Ni2TeBr, optimized geometry, DFT GGA-PBE; values from VASP
! energy above the most stable polymorph in this dataset = 534.8 meV per atom
! E = -14.588 eV/cell
! mass density = 7760 kg/m³
! ΔE_f (raw) = 173 kJ/mol of formula units
&SYSTEM
  ibrav = 0, nat = 4, ntyp = 3
/
ATOMIC_SPECIES
Br 79.90 Br.upf
Ni 58.69 Ni.upf
Te 127.60 Te.upf
ATOMIC_POSITIONS angstrom
Br 2.2791 -0.3768 1.6299
Ni 0.0000 0.0000 0.0000
Te -0.8565 -0.4516 2.6561
Ni 0.6558 -2.6846 1.8082
CELL_PARAMETERS angstrom
-2.4798 -2.7593 2.8345
3.7914 -2.6098 0.7819
0.7668 1.8562 2.4778


No. 3
! K4NpF10, optimized geometry, DFT GGA-PBE; values from VASP
! E = -79.869 eV/cell
! mass density = 3452 kg/m³
! ΔE_f (raw) = -4228 kJ/mol of formula units
&SYSTEM
  ibrav = 0, nat = 15, ntyp = 3
/
ATOMIC_SPECIES
F 19.00 F.upf
K 39.10 K.upf
Np 237.00 Np.upf
ATOMIC_POSITIONS angstrom
F -7.4438 7.7565 -2.1299
F -1.3274 3.9748 -3.0354
K -2.4815 6.5571 -2.6124
F -0.5887 2.0691 -0.0435
K -6.2897 5.1743 -2.5529
K -3.2073 2.6801 -1.2018
K -5.5639 9.0512 -3.9635
F -8.1825 9.6623 -5.1218
F -4.0741 5.0620 -1.3210
F -5.8156 2.2953 -2.3096
F -4.6971 6.6693 -3.8443
Np 0.0000 0.0000 0.0000
F -6.5544 4.2011 -5.3016
F -2.9556 9.4360 -2.8557
F -2.2168 7.5302 0.1363
CELL_PARAMETERS angstrom
-1.2461 3.2145 -5.0466
-7.2476 1.1637 -1.1701
-0.2776 7.3531 1.0513


No. 4
! In4I3Br, optimized geometry, DFT GGA-PBE; values from VASP
! energy above the most stable polymorph in this dataset = 0.0 meV per atom
! E = -42.533 eV/cell
! mass density = 4580 kg/m³
! ΔE_f (raw) = -385 kJ/mol of formula units
&SYSTEM
  ibrav = 0, nat = 16, ntyp = 3
/
ATOMIC_SPECIES
I 126.90 I.upf
Br 79.90 Br.upf
In 114.82 In.upf
ATOMIC_POSITIONS angstrom
I 4.9043 4.0487 1.2336
I 6.3559 0.0511 3.6681
Br 6.3559 0.0511 8.5977
I 2.1186 0.0170 6.1478
In 3.4555 1.9973 3.6221
In 2.0065 6.1299 1.1592
In 7.6927 2.0313 6.1939
I 0.6670 4.0146 3.6763
In 2.1158 6.0660 6.1939
I 0.6670 4.0146 8.5823
I 4.9043 4.0487 6.1396
In -0.6725 1.8994 1.1592
In -2.1214 6.0320 3.6221
In 6.2438 6.1639 8.6567
Br 2.1186 0.0170 1.2183
In 3.5648 1.9334 8.6567
CELL_PARAMETERS angstrom
8.4745 0.0681 0.0000
-2.9032 7.9952 0.0000
0.0000 0.0000 9.8160


No. 5
! V3SiPt, optimized geometry, DFT GGA-PBE; values from VASP
! energy above the most stable polymorph in this dataset = 0.0 meV per atom
! E = -81.864 eV/cell
! mass density = 9092 kg/m³
! ΔE_f (raw) = -204 kJ/mol of formula units
&SYSTEM
  ibrav = 0, nat = 10, ntyp = 3
/
ATOMIC_SPECIES
Pt 195.08 Pt.upf
V 50.94 V.upf
Si 28.09 Si.upf
ATOMIC_POSITIONS angstrom
Pt -1.7538 -2.6814 -1.1541
Pt -3.6278 -2.1765 3.0825
V -2.6845 -5.1765 5.3245
Si -1.7157 -3.9771 3.2454
V -0.3438 -3.0598 1.1006
Si -0.7232 -5.5906 0.9181
V -4.1880 -4.8069 3.1610
V -2.0952 -6.5078 3.0629
V -2.5335 -1.0167 0.9336
V -2.8481 -3.8410 0.9948
CELL_PARAMETERS angstrom
-1.9361 -2.2551 -2.2030
2.9426 -4.7099 2.2351
-4.4336 -0.4156 4.3219


No. 6
! InSn2PdS, optimized geometry, DFT GGA-PBE; values from VASP
! E = -19.545 eV/cell
! mass density = 6062 kg/m³
! ΔE_f (raw) = 50 kJ/mol of formula units
&SYSTEM
  ibrav = 0, nat = 5, ntyp = 4
/
ATOMIC_SPECIES
S 32.06 S.upf
Pd 106.42 Pd.upf
In 114.82 In.upf
Sn 118.71 Sn.upf
ATOMIC_POSITIONS angstrom
S 0.0000 0.0000 0.0000
Pd 0.9460 -1.1540 -1.6608
In 1.6457 -4.0894 0.7774
Sn 2.0717 -0.6909 1.6601
Sn -1.3720 -2.2444 0.7781
CELL_PARAMETERS angstrom
-2.7440 -4.4889 1.5561
1.8920 -2.3081 -3.3216
4.1434 -1.3818 3.3203


No. 7
! NdY2Pt, optimized geometry, DFT GGA-PBE; values from VASP
! energy above the most stable polymorph in this dataset = 32.5 meV per atom
! E = -52.659 eV/cell
! formation enthalpy at 0 K = -648 meV per atom
! mass density = 7611 kg/m³
&SYSTEM
  ibrav = 0, nat = 8, ntyp = 3
/
ATOMIC_SPECIES
Pt 195.08 Pt.upf
Y 88.91 Y.upf
Nd 144.24 Nd.upf
ATOMIC_POSITIONS angstrom
Pt -0.6303 1.8381 3.2918
Y -1.8129 1.8167 0.6565
Pt 0.7517 6.5834 4.5122
Nd 3.3259 5.1788 3.5812
Y 1.9343 6.6047 7.1476
Nd -3.2045 3.2427 4.2229
Y 0.0155 4.0521 5.6933
Y 0.1059 4.3693 2.1108
CELL_PARAMETERS angstrom
-2.0693 2.6138 -1.8575
-2.9643 -1.0502 5.7544
5.1551 6.8578 3.9072


No. 8
! PmY5P6, optimized geometry, DFT GGA-PBE; values from VASP
! E = -88.914 eV/cell
! formation enthalpy at 0 K = -1615 meV per atom
! mass density = 4621 kg/m³
&SYSTEM
  ibrav = 0, nat = 12, ntyp = 3
/
ATOMIC_SPECIES
Y 88.91 Y.upf
P 30.97 P.upf
Pm 145.00 Pm.upf
ATOMIC_POSITIONS angstrom
Y 1.2090 3.9496 6.9321
Y 4.3014 3.0136 2.2323
P 5.3443 0.6408 3.4263
Pm 0.0000 0.0000 0.0000
Y 4.9068 4.9920 5.6916
Y 3.8122 1.0989 5.7597
P 3.3746 5.4501 8.0250
Y 0.6039 1.9726 3.4700
P 2.1692 1.5254 1.1288
P 6.4335 4.5017 3.3357
P 2.7649 3.4551 4.5962
P 5.9540 2.6358 6.8551
CELL_PARAMETERS angstrom
6.9060 0.1686 1.0493
1.6967 5.8585 3.4153
0.1162 0.0638 6.9868


No. 9
! Ba2SrSe, optimized geometry, DFT GGA-PBE; values from VASP
! energy above the most stable polymorph in this dataset = 87.2 meV per atom
! E = -12.367 eV/cell
! mass density = 4040 kg/m³
! ΔE_f (raw) = -324 kJ/mol of formula units
&SYSTEM
  ibrav = 0, nat = 4, ntyp = 3
/
ATOMIC_SPECIES
Sr 87.62 Sr.upf
Se 78.96 Se.upf
Ba 137.33 Ba.upf
ATOMIC_POSITIONS angstrom
Sr 1.8333 2.1887 7.4145
Se 0.0000 0.0000 5.6309
Ba 1.8333 2.1887 3.6910
Ba 0.0000 0.0000 10.9512
CELL_PARAMETERS angstrom
4.0315 0.3475 0.0000
-0.3649 4.0300 0.0000
0.0000 0.0000 11.0750


No. 10
! Y2OsW, optimized geometry, DFT GGA-PBE; values from VASP
! energy above the most stable polymorph in this dataset = 407.9 meV per atom
! E = -35.284 eV/cell
! formation enthalpy at 0 K = 457 meV per atom
! mass density = 10885 kg/m³
&SYSTEM
  ibrav = 0, nat = 4, ntyp = 3
/
ATOMIC_SPECIES
Os 190.23 Os.upf
Y 88.91 Y.upf
W 183.84 W.upf
ATOMIC_POSITIONS angstrom
Os 1.6599 1.6599 1.9098
Y 0.0000 0.0000 3.6474
W 1.6599 1.6599 5.7293
Y 0.0000 0.0000 0.1722
CELL_PARAMETERS angstrom
3.3198 0.0000 0.0000
0.0000 3.3198 0.0000
0.0000 0.0000 7.6391


No. 11
! LiTb3Pd2, optimized geometry, DFT GGA-PBE; values from VASP
! E = -59.190 eV/cell
! formation enthalpy at 0 K = -567 meV per atom
! mass density = 8560 kg/m³
&SYSTEM
  ibrav = 0, nat = 12, ntyp = 3
/
ATOMIC_SPECIES
Li 6.94 Li.upf
Pd 106.42 Pd.upf
Tb 158.93 Tb.upf
ATOMIC_POSITIONS angstrom
Li 3.8906 -3.1452 0.3282
Pd 5.3483 -1.1817 2.9555
Tb 5.9047 -0.8177 -0.0338
Tb 1.1816 -2.5466 -1.1688
Tb 6.5873 -3.7409 1.8184
Pd 0.0000 0.0000 0.0000
Tb 11.3103 -2.0121 2.9534
Tb 2.5818 -0.5704 1.4267
Pd 9.0652 -4.2884 3.1877
Li 8.6013 -1.4135 1.4563
Pd 3.4267 -0.2703 -1.4031
Tb 8.1149 -1.7929 4.4843
CELL_PARAMETERS angstrom
-0.6837 -4.9069 -0.7246
2.4789 2.7115 -3.4018
10.6967 -2.3633 5.9110


No. 12
! LaFeI2, optimized geometry, DFT GGA-PBE; values from VASP
! E = -17.120 eV/cell
! mass density = 6395 kg/m³
! ΔE_f (raw) = -61 kJ/mol of formula units
&SYSTEM
  ibrav = 0, nat = 4, ntyp = 3
/
ATOMIC_SPECIES
I 126.90 I.upf
La 138.91 La.upf
Fe 55.84 Fe.upf
ATOMIC_POSITIONS angstrom
I 0.1908 -5.9287 8.1380
I 0.0636 -1.9762 2.7127
La 0.1272 -3.9525 5.4253
Fe 0.0000 0.0000 0.0000
CELL_PARAMETERS angstrom
3.1348 -3.2822 3.0738
-0.7103 -0.1679 5.4328
-2.1700 -4.4547 2.3440


Question: The lowest mass density belongs to which entry?
Answer: K4NpF10


Question: Number 8 is which compound?
Answer: PmY5P6


Question: Look up the E of the fifth one.
Answer: -81.864 eV/cell


Question: What is the mass density in the twelfth record?
Answer: 6395 kg/m³